This record from Alexandria describes crystalline In2SbSeS at its relaxed geometry. The functional is PBE.

## Properties
Its total magnetic moment is 0.0 Bohr magnetons per cell. For the uncorrected formation energy, the calculation gives 1.1 eV/f.u. As for the calculated density: 5.54 Mg/m³. As for the crystal system: tetragonal.

a b c (Å): 5.349 4.843 5.349
angles (deg): 90.00 90.00 90.00
Fractional positions:
Sb1 0.500 0.500 0.500
S1 0.000 0.000 0.000
Se1 0.000 0.500 0.000
In1 0.000 0.000 0.500
In2 0.500 0.000 0.000